{
  "formula": "Sc2TePb",
  "functional": "GGA-PBE",
  "state": "optimized geometry",
  "volume_a3_per_cell": 290.7,
  "crystal_system": "tetragonal",
  "formation_energy_uncorrected_ev_per_atom": -0.285,
  "e_tot_ev_per_atom": -5.16,
  "spacegroup": "I-42d, No. 122",
  "lattice": [[-3.232, 3.232, 6.955], [3.232, -3.232, 6.955], [3.232, 3.232, -6.955]],
  "species": ["Sc", "Sc", "Sc", "Sc", "Te", "Te", "Pb", "Pb"],
  "frac_coords": [[0.116, 0.625, 0.991], [0.375, 0.366, 0.491], [0.634, 0.125, 0.009], [0.875, 0.884, 0.509], [0.250, 0.750, 0.500], [0.500, 0.500, 0.000], [0.000, 0.000, 0.000], [0.750, 0.250, 0.500]]
}

***

{
  "formula": "Sc2TePb",
  "functional": "GGA-PBE",
  "state": "optimized geometry",
  "volume_a3_per_cell": 101.8,
  "crystal_system": "monoclinic",
  "formation_energy_uncorrected_ev_per_atom": -0.620,
  "e_tot_ev_per_atom": -5.50,
  "spacegroup": "Cm, No. 8",
  "lattice": [[5.724, -1.937, 0.000], [5.724, 1.937, 0.000], [-0.006, 0.000, 4.592]],
  "species": ["Sc", "Sc", "Te", "Pb"],
  "frac_coords": [[0.000, 0.000, 0.000], [0.232, 0.232, 0.500], [0.487, 0.487, 0.500], [0.734, 0.734, 0.000]]
}

***

{
  "formula": "Sc2TePb",
  "functional": "GGA-PBE",
  "state": "optimized geometry",
  "volume_a3_per_cell": 99.8,
  "crystal_system": "orthorhombic",
  "formation_energy_uncorrected_ev_per_atom": -0.537,
  "e_tot_ev_per_atom": -5.41,
  "spacegroup": "Pmmm, No. 47",
  "lattice": [[3.853, 0.000, 0.000], [0.000, 4.533, 0.000], [0.000, 0.000, 5.714]],
  "species": ["Sc", "Sc", "Te", "Pb"],
  "frac_coords": [[0.000, 0.000, 0.000], [0.000, 0.500, 0.500], [0.500, 0.000, 0.500], [0.500, 0.500, 0.000]]
}

***

{
  "formula": "Sc2TePb",
  "functional": "GGA-PBE",
  "state": "optimized geometry",
  "volume_a3_per_cell": 98.1,
  "crystal_system": "monoclinic",
  "formation_energy_uncorrected_ev_per_atom": -0.590,
  "e_tot_ev_per_atom": -5.47,
  "spacegroup": "P2/m, No. 10",
  "lattice": [[3.557, 0.000, 0.000], [0.000, 3.556, 0.000], [-0.064, 0.000, 7.751]],
  "species": ["Sc", "Sc", "Te", "Pb"],
  "frac_coords": [[0.001, 0.000, 0.231], [0.999, 0.000, 0.769], [0.500, 0.500, 0.000], [0.500, 0.500, 0.500]]
}

***

{
  "formula": "Sc4TePb",
  "functional": "GGA-PBE",
  "state": "optimized geometry",
  "volume_a3_per_cell": 148.4,
  "crystal_system": "cubic",
  "formation_energy_uncorrected_ev_per_atom": -0.055,
  "e_tot_ev_per_atom": -5.42,
  "spacegroup": "F-43m, No. 216",
  "lattice": [[0.000, 4.202, 4.202], [4.202, 0.000, 4.202], [4.202, 4.202, 0.000]],
  "species": ["Sc", "Sc", "Sc", "Sc", "Te", "Pb"],
  "frac_coords": [[0.376, 0.376, 0.376], [0.376, 0.376, 0.873], [0.376, 0.873, 0.376], [0.873, 0.376, 0.376], [0.000, 0.000, 0.000], [0.750, 0.750, 0.750]]
}

***

{
  "formula": "Sc4Te3Pb",
  "functional": "GGA-PBE",
  "state": "optimized geometry",
  "volume_a3_per_cell": 413.5,
  "crystal_system": "orthorhombic",
  "formation_energy_uncorrected_ev_per_atom": -0.949,
  "e_tot_ev_per_atom": -5.76,
  "spacegroup": "Pmmn, No. 59",
  "lattice": [[5.909, 0.000, 0.000], [0.000, 11.843, 0.000], [0.000, 0.000, 5.909]],
  "species": ["Sc", "Sc", "Sc", "Sc", "Sc", "Sc", "Sc", "Sc", "Te", "Te", "Te", "Te", "Te", "Te", "Pb", "Pb"],
  "frac_coords": [[0.250, 0.004, 0.249], [0.250, 0.250, 0.750], [0.250, 0.496, 0.249], [0.250, 0.750, 0.751], [0.750, 0.250, 0.249], [0.750, 0.504, 0.751], [0.750, 0.750, 0.250], [0.750, 0.996, 0.751], [0.250, 0.000, 0.749], [0.250, 0.500, 0.749], [0.250, 0.750, 0.250], [0.750, 0.000, 0.251], [0.750, 0.250, 0.750], [0.750, 0.500, 0.251], [0.250, 0.250, 0.250], [0.750, 0.750, 0.750]]
}

***

{
  "formula": "Sc2TePb",
  "functional": "GGA-PBE",
  "state": "optimized geometry",
  "volume_a3_per_cell": 98.6,
  "crystal_system": "orthorhombic",
  "formation_energy_uncorrected_ev_per_atom": -0.595,
  "e_tot_ev_per_atom": -5.47,
  "spacegroup": "Cmmm, No. 65",
  "lattice": [[2.297, -2.745, 0.000], [2.297, 2.745, 0.000], [0.000, 0.000, 7.818]],
  "species": ["Sc", "Sc", "Te", "Pb"],
  "frac_coords": [[0.000, 0.000, 0.239], [0.000, 0.000, 0.761], [0.500, 0.500, 0.000], [0.500, 0.500, 0.500]]
}

***

{
  "formula": "Sc2TePb",
  "functional": "GGA-PBE",
  "state": "optimized geometry",
  "volume_a3_per_cell": 106.4,
  "crystal_system": "orthorhombic",
  "formation_energy_uncorrected_ev_per_atom": -0.632,
  "e_tot_ev_per_atom": -5.51,
  "spacegroup": "Imm2, No. 44",
  "lattice": [[-1.820, 2.033, 7.187], [1.820, -2.033, 7.187], [1.820, 2.033, -7.187]],
  "species": ["Sc", "Sc", "Te", "Pb"],
  "frac_coords": [[0.000, 0.000, 0.000], [0.751, 0.251, 0.500], [0.590, 0.590, 0.000], [0.347, 0.847, 0.500]]
}

***

{
  "formula": "Sc4Te2Pb",
  "functional": "GGA-PBE",
  "state": "optimized geometry",
  "volume_a3_per_cell": 216.0,
  "crystal_system": "tetragonal",
  "formation_energy_uncorrected_ev_per_atom": -0.158,
  "e_tot_ev_per_atom": -5.20,
  "spacegroup": "I4/mmm, No. 139",
  "lattice": [[-2.715, 2.715, 7.325], [2.715, -2.715, 7.325], [2.715, 2.715, -7.325]],
  "species": ["Sc", "Sc", "Sc", "Sc", "Te", "Te", "Pb"],
  "frac_coords": [[0.000, 0.500, 0.500], [0.195, 0.195, 0.000], [0.500, 0.000, 0.500], [0.805, 0.805, 0.000], [0.384, 0.384, 0.000], [0.616, 0.616, 0.000], [0.000, 0.000, 0.000]]
}

***

{
  "formula": "Sc3TePb",
  "functional": "GGA-PBE",
  "state": "optimized geometry",
  "volume_a3_per_cell": 148.8,
  "crystal_system": "cubic",
  "formation_energy_uncorrected_ev_per_atom": -0.081,
  "e_tot_ev_per_atom": -5.25,
  "spacegroup": "Pm-3m, No. 221",
  "lattice": [[5.299, 0.000, 0.000], [0.000, 5.299, 0.000], [0.000, 0.000, 5.299]],
  "species": ["Sc", "Sc", "Sc", "Te", "Pb"],
  "frac_coords": [[0.000, 0.000, 0.500], [0.000, 0.500, 0.000], [0.500, 0.000, 0.000], [0.000, 0.000, 0.000], [0.500, 0.500, 0.500]]
}

***

{
  "formula": "ScTePb4",
  "functional": "GGA-PBE",
  "state": "optimized geometry",
  "volume_a3_per_cell": 185.9,
  "crystal_system": "cubic",
  "formation_energy_uncorrected_ev_per_atom": 0.124,
  "e_tot_ev_per_atom": -3.93,
  "spacegroup": "F-43m, No. 216",
  "lattice": [[0.000, 4.530, 4.530], [4.530, 0.000, 4.530], [4.530, 4.530, 0.000]],
  "species": ["Sc", "Te", "Pb", "Pb", "Pb", "Pb"],
  "frac_coords": [[0.000, 0.000, 0.000], [0.750, 0.750, 0.750], [0.374, 0.374, 0.374], [0.374, 0.374, 0.878], [0.374, 0.878, 0.374], [0.878, 0.374, 0.374]]
}

***

{
  "formula": "Sc2TePb",
  "functional": "GGA-PBE",
  "state": "optimized geometry",
  "volume_a3_per_cell": 209.1,
  "crystal_system": "tetragonal",
  "formation_energy_uncorrected_ev_per_atom": -0.767,
  "e_tot_ev_per_atom": -5.65,
  "spacegroup": "I4_1/amd, No. 141",
  "lattice": [[-2.968, 2.968, 5.936], [2.968, -2.968, 5.936], [2.968, 2.968, -5.936]],
  "species": ["Sc", "Sc", "Sc", "Sc", "Te", "Te", "Pb", "Pb"],
  "frac_coords": [[0.124, 0.374, 0.750], [0.374, 0.124, 0.250], [0.626, 0.876, 0.750], [0.876, 0.626, 0.250], [0.375, 0.625, 0.750], [0.625, 0.375, 0.250], [0.125, 0.875, 0.250], [0.875, 0.125, 0.750]]
}